Here is MgVOF2 after structural relaxation from Alexandria. Energies are from PBE with a Hubbard U.

Space group = P4/mmm, No. 123
Final energy = -27.82 eV/f.u.

abc: 4.032 4.032 4.031
angles: 90.00 90.00 90.00
Positions (direct):
Mg 0.000 0.000 0.000
V 0.500 0.500 0.500
O 0.500 0.500 0.000
F 0.000 0.500 0.500
F 0.500 0.000 0.500